This record from Alexandria via LeMat-Bulk describes crystalline ScTaCr2O6 at its relaxed geometry. The functional is GGA+U.

Summary:
Space-group type: No. 1
E, eV/cell: -86.9

Lattice parameters (Å, degrees): 5.214 5.219 5.592 90.78 114.46 119.80
Sites, in units of the cell vectors:
Sc1 0.000 0.000 0.000
Ta1 0.000 0.503 0.525
Cr1 0.425 0.715 0.120
Cr2 0.426 0.217 0.594
O1 0.212 0.807 0.325
O2 0.216 0.908 0.805
O3 0.515 0.608 0.805
O4 0.538 0.416 0.305
O5 0.891 0.289 0.804
O6 0.955 0.158 0.336